Record 1
{
  "formula": "Zr2ScBr",
  "functional": "PBE",
  "state": "optimized geometry",
  "lattice": [[-3.802, -0.239, -3.763], [0.000, -3.272, 0.208], [-3.701, -0.074, 3.744]],
  "species": ["Br", "Sc", "Zr", "Zr"],
  "fractional_positions": [[0.500, 0.250, 0.250], [0.500, 0.750, 0.750], [0.000, 0.078, 0.982], [0.000, 0.422, 0.518]],
  "raw_formation_energy_ev_per_atom": -0.047,
  "volume_a3_per_atom": 23.06
}



Record 2
{
  "formula": "AcSn3Pd3",
  "functional": "PBE",
  "state": "optimized geometry",
  "lattice": [[-5.528, 4.601, -1.184], [0.800, -0.890, -7.190], [-4.683, -5.582, 0.170]],
  "species": ["Ac", "Ac", "Sn", "Sn", "Sn", "Sn", "Sn", "Sn", "Pd", "Pd", "Pd", "Pd", "Pd", "Pd"],
  "fractional_positions": [[0.500, 0.500, 0.500], [0.000, 0.000, 0.000], [0.000, 0.250, 0.500], [0.000, 0.750, 0.500], [0.500, 0.000, 0.750], [0.750, 0.500, 0.000], [0.500, 0.000, 0.250], [0.250, 0.500, 0.000], [0.250, 0.000, 0.500], [0.000, 0.500, 0.250], [0.500, 0.750, 0.000], [0.750, 0.000, 0.500], [0.000, 0.500, 0.750], [0.500, 0.250, 0.000]],
  "volume_a3_per_atom": 27.66,
  "delta_e_f_ev_per_atom": -0.3517,
  "relative_energy_mev_per_atom": 187
}



Record 3
{
  "formula": "AlNCl4",
  "functional": "PBE",
  "state": "optimized geometry",
  "lattice": [[-3.553, 5.305, -4.158], [-8.589, -1.369, 5.591], [2.907, 6.740, 6.115]],
  "species": ["Al", "Al", "Al", "Al", "N", "N", "N", "N", "Cl", "Cl", "Cl", "Cl", "Cl", "Cl", "Cl", "Cl", "Cl", "Cl", "Cl", "Cl", "Cl", "Cl", "Cl", "Cl"],
  "fractional_positions": [[0.250, 0.826, 0.984], [0.250, 0.674, 0.484], [0.750, 0.174, 0.016], [0.750, 0.326, 0.516], [0.250, 0.921, 0.162], [0.250, 0.579, 0.662], [0.750, 0.079, 0.838], [0.750, 0.421, 0.338], [0.250, 0.050, 0.245], [0.250, 0.450, 0.745], [0.750, 0.950, 0.755], [0.750, 0.550, 0.255], [0.250, 0.981, 0.839], [0.250, 0.519, 0.339], [0.750, 0.019, 0.161], [0.750, 0.481, 0.661], [0.015, 0.716, 0.989], [0.485, 0.784, 0.489], [0.515, 0.284, 0.011], [0.985, 0.216, 0.511], [0.985, 0.284, 0.011], [0.515, 0.216, 0.511], [0.485, 0.716, 0.989], [0.015, 0.784, 0.489]],
  "raw_formation_energy_ev_per_atom": -0.524,
  "volume_a3_per_atom": 31.36
}



Record 4
{
  "formula": "Ca4MgHg",
  "functional": "PBE",
  "state": "optimized geometry",
  "lattice": [[0.000, 4.831, 4.831], [4.831, 0.000, 4.831], [4.831, 4.831, 0.000]],
  "species": ["Ca", "Ca", "Ca", "Ca", "Mg", "Hg"],
  "fractional_positions": [[0.875, 0.375, 0.375], [0.375, 0.375, 0.875], [0.375, 0.875, 0.375], [0.375, 0.375, 0.375], [0.000, 0.000, 0.000], [0.750, 0.750, 0.750]],
  "volume_a3_per_atom": 37.59,
  "delta_e_f_ev_per_atom": 0.2569,
  "relative_energy_mev_per_atom": 478
}



Record 5
{
  "formula": "CrAs2IBr",
  "functional": "PBE",
  "state": "optimized geometry",
  "lattice": [[4.796, 0.000, 0.000], [0.000, 4.796, 0.000], [0.000, 0.000, 4.969]],
  "species": ["I", "Cr", "As", "As", "Br"],
  "fractional_positions": [[0.500, 0.500, 0.500], [0.000, 0.000, 0.000], [0.000, 0.500, 0.000], [0.500, 0.000, 0.000], [0.000, 0.000, 0.500]],
  "raw_formation_energy_ev_per_atom": 0.314,
  "volume_a3_per_atom": 22.86,
  "relative_energy_mev_per_atom": 0
}



Record 6
{
  "formula": "SmYZnIn",
  "functional": "PBE",
  "state": "optimized geometry",
  "lattice": [[-5.103, 0.896, -0.919], [-3.425, 0.045, 3.995], [-2.194, 4.530, 1.534]],
  "species": ["Y", "Zn", "Sm", "In"],
  "fractional_positions": [[0.000, 0.000, 0.000], [0.250, 0.250, 0.250], [0.500, 0.500, 0.500], [0.750, 0.750, 0.750]],
  "volume_a3_per_atom": 25.76,
  "delta_e_f_ev_per_atom": -0.4110
}



Record 7
{
  "formula": "Li2Dy3Ga4",
  "functional": "PBE",
  "state": "optimized geometry",
  "lattice": [[4.549, 0.000, 0.000], [-2.274, 4.893, -1.863], [0.000, -0.773, 8.619]],
  "species": ["Li", "Li", "Dy", "Dy", "Dy", "Ga", "Ga", "Ga", "Ga"],
  "fractional_positions": [[0.608, 0.216, 0.277], [0.392, 0.784, 0.723], [0.668, 0.335, 0.660], [0.000, 0.000, 0.000], [0.332, 0.665, 0.340], [0.737, 0.475, 0.076], [0.263, 0.525, 0.924], [0.957, 0.915, 0.624], [0.043, 0.085, 0.376]],
  "volume_a3_per_atom": 20.59,
  "delta_e_f_ev_per_atom": -0.4904
}



Record 8
{
  "formula": "Mn3Co2",
  "functional": "PBE",
  "state": "optimized geometry",
  "lattice": [[0.000, 4.204, 6.030], [2.171, 0.000, 6.030], [2.171, 4.204, 0.000]],
  "species": ["Mn", "Mn", "Mn", "Mn", "Mn", "Mn", "Co", "Co", "Co", "Co"],
  "fractional_positions": [[0.741, 0.464, 0.345], [0.450, 0.345, 0.464], [0.786, 0.509, 0.800], [0.905, 0.800, 0.509], [0.065, 0.935, 0.935], [0.315, 0.185, 0.185], [0.197, 0.896, 0.359], [0.548, 0.359, 0.896], [0.354, 0.053, 0.702], [0.891, 0.702, 0.053]],
  "volume_a3_per_atom": 11.01,
  "delta_e_f_ev_per_atom": 0.1129
}



Record 9
{
  "formula": "Dy2ReC3",
  "functional": "PBE",
  "state": "optimized geometry",
  "lattice": [[5.479, 0.000, 0.000], [0.000, 5.874, 0.030], [0.000, -2.427, 5.349]],
  "species": ["Dy", "Dy", "Dy", "Dy", "Re", "Re", "C", "C", "C", "C", "C", "C"],
  "fractional_positions": [[0.725, 0.170, 0.506], [0.225, 0.494, 0.830], [0.225, 0.830, 0.494], [0.725, 0.506, 0.170], [0.777, 0.895, 0.895], [0.277, 0.105, 0.105], [0.493, 0.132, 0.830], [0.993, 0.170, 0.868], [0.356, 0.389, 0.389], [0.856, 0.611, 0.611], [0.993, 0.868, 0.170], [0.493, 0.830, 0.132]],
  "volume_a3_per_atom": 14.38,
  "delta_e_f_ev_per_atom": -0.0946
}



Record 10
{
  "formula": "AgCSe3",
  "functional": "PBE",
  "state": "optimized geometry",
  "lattice": [[5.079, 0.000, 0.000], [0.000, 5.079, 0.000], [0.000, 0.000, 5.079]],
  "species": ["C", "Se", "Se", "Se", "Ag"],
  "fractional_positions": [[0.500, 0.500, 0.500], [0.000, 0.500, 0.000], [0.000, 0.000, 0.500], [0.500, 0.000, 0.000], [0.000, 0.000, 0.000]],
  "raw_formation_energy_ev_per_atom": 2.023,
  "volume_a3_per_atom": 26.20,
  "relative_energy_mev_per_atom": 928
}



Record 11
{
  "formula": "Na4Pd",
  "functional": "PBE",
  "state": "optimized geometry",
  "lattice": [[-0.715, 4.484, -3.190], [1.049, -3.047, -4.517], [-5.402, -1.186, -0.455]],
  "species": ["Na", "Na", "Na", "Na", "Pd"],
  "fractional_positions": [[0.000, 0.000, 0.000], [0.500, 0.000, 0.500], [0.000, 0.500, 0.500], [0.500, 0.500, 0.000], [0.500, 0.500, 0.500]],
  "volume_a3_per_atom": 34.17,
  "delta_e_f_ev_per_atom": 0.0615,
  "relative_energy_mev_per_atom": 115
}



Record 12
{
  "formula": "Ho2PN",
  "functional": "PBE",
  "state": "optimized geometry",
  "lattice": [[3.621, 0.000, 0.000], [1.810, 3.136, 0.000], [1.810, 1.045, 6.523]],
  "species": ["Ho", "Ho", "P", "N"],
  "fractional_positions": [[0.092, 0.092, 0.725], [0.244, 0.244, 0.268], [0.667, 0.667, 0.999], [0.497, 0.497, 0.508]],
  "raw_formation_energy_ev_per_atom": -1.225,
  "volume_a3_per_atom": 18.51,
  "relative_energy_mev_per_atom": 299
}